one | Here is crystalline Y2Ir2O5 at its relaxed geometry from OQMD via LeMat-Bulk. Energies are from PBE.

* size of the total moment: 0.014 μB/f.u.
* symmetry: P4/mmm (123)

Lattice parameters (Å, degrees): 3.916 3.916 7.022 90.00 90.00 90.00
Positions (direct):
Y  0.000  0.000  0.000
Y  0.000  0.000  0.500
Ir  0.500  0.500  0.191
Ir  0.500  0.500  0.809
O  0.000  0.500  0.250
O  0.000  0.500  0.750
O  0.500  0.000  0.250
O  0.500  0.000  0.750
O  0.500  0.500  0.500

=====

two | Here is crystalline Y2Ir2O5 at its relaxed geometry from OQMD via LeMat-Bulk. Energies are from PBE.

* size of the total moment: 0.561 μB/f.u.
* symmetry: P4/mmm (123)

Lattice parameters (Å, degrees): 3.600 3.600 9.258 90.00 90.00 90.00
Positions (direct):
Y  0.000  0.000  0.234
Y  0.000  0.000  0.766
Ir  0.500  0.500  0.000
Ir  0.500  0.500  0.500
O  0.000  0.000  0.000
O  0.000  0.500  0.374
O  0.000  0.500  0.626
O  0.500  0.000  0.374
O  0.500  0.000  0.626

=====

Looking at the structures above, which would you pick as the most stable? I would pick one.